Entry from Alexandria via LeMat-Bulk: crystalline Tl6Hg2Pb at its relaxed geometry (GGA-PBE).

a b c (Å): 3.519 3.519 25.407
angles (deg): 90.00 90.00 120.00
Sites, in units of the cell vectors:
Tl 0.333 0.667 0.563
Tl 0.667 0.333 0.113
Tl 0.333 0.667 0.437
Tl 0.333 0.667 0.228
Tl 0.667 0.333 0.887
Tl 0.333 0.667 0.772
Pb 0.333 0.667 0.000
Hg 0.667 0.333 0.332
Hg 0.667 0.333 0.668

Output
The value obtained for the energy relative to the elements is -0.9 meV/atom. The density of states at the Fermi level comes out at 0.4256 states/eV per atom. For the energy above the most stable polymorph in this dataset, the calculation gives 0.0000 eV per atom.